Entry 1:
KVB3 | PBE | optimized geometry

## Properties
Total magnetic moment in μB per formula unit: 0.00
Calculated volume in Å³ per atom: 15.11
E in eV per formula unit: -24.4
ΔE_f in eV/atom: 1.16
Relative energy among the computed polymorphs in eV per atom: 0.000
Crystal system: cubic
DOS at the Fermi energy in states/eV per atom: 0.93

a b c (Å): 4.228 4.228 4.228
angles (deg): 90.00 90.00 90.00
Space group Pm-3m (No. 221)
Unique sites:
K (0.000, 0.000, 0.000)
V (0.500, 0.500, 0.500)
B (0.000, 0.500, 0.500)

Entry 2:
KVB3 | PBE | optimized geometry

## Properties
Total magnetic moment in μB per formula unit: 2.56
Calculated volume in Å³ per atom: 16.87
E in eV per formula unit: -13.1
ΔE_f in eV/atom: 3.44
Relative energy among the computed polymorphs in eV per atom: 2.275
Crystal system: cubic
DOS at the Fermi energy in states/eV per atom: 1.66

a b c (Å): 4.386 4.386 4.386
angles (deg): 90.00 90.00 90.00
Space group Pm-3m (No. 221)
Unique sites:
K (0.000, 0.000, 0.000)
V (0.500, 0.500, 0.500)
B (0.000, 0.000, 0.500)